This record from Alexandria describes a relaxed structure of DyEr2CdAu4. The functional is PBE-GGA.

ρ, g/cm³: 13.1
Magnetic moment, μB per cell: 0.00
Raw total energy, eV/atom: -4.250
Volume, Å³ per cell: 531.4

a = 4.9879 Å, b = 4.9879 Å, c = 24.6645 Å
α = 90.00°, β = 90.00°, γ = 120.00°
Space group R-3m (No. 166, hexagonal axes)
Symmetry-distinct sites (fractional):
Dy: 0.0000 0.0000 0.0000 [3 per cell]
Er: 0.0000 0.0000 0.2433 [6 per cell]
Cd: 0.0000 0.0000 0.5000 [3 per cell]
Au: 0.0000 0.0000 0.1207 [6 per cell]
Au: 0.0000 0.0000 0.3677 [6 per cell]